Run P
# LiMnPt2 | the Alexandria database | meta-GGA SCAN | PBEsol geometry
# * crystal system: tetragonal
# * magnetic moment: 1.065 μB per atom
data_LiMnPt2
_chemical_formula_sum 'Li1 Mn1 Pt2'
_cell_length_a 3.959
_cell_length_b 3.959
_cell_length_c 3.443
_cell_angle_alpha 90.00
_cell_angle_beta 90.00
_cell_angle_gamma 90.00
_symmetry_space_group_name_H-M 'P 1'
_symmetry_Int_Tables_number 1
loop_
_symmetry_equiv_pos_as_xyz
'x,y,z'
loop_
_atom_site_label
_atom_site_type_symbol
_atom_site_fract_x
_atom_site_fract_y
_atom_site_fract_z
_atom_site_occupancy
Li1 Li 0.000 0.000 0.000 1
Mn1 Mn 0.500 0.500 0.000 1
Pt1 Pt 0.000 0.500 0.500 1
Pt2 Pt 0.500 0.000 0.500 1

Run Q
# LiMnPt2 | the Alexandria database | meta-GGA SCAN | PBEsol geometry
# * crystal system: tetragonal
# * magnetic moment: 1.104 μB per atom
data_LiMnPt2
_chemical_formula_sum 'Li2 Mn2 Pt4'
_cell_length_a 4.020
_cell_length_b 4.020
_cell_length_c 6.664
_cell_angle_alpha 90.00
_cell_angle_beta 90.00
_cell_angle_gamma 90.00
_symmetry_space_group_name_H-M 'P 1'
_symmetry_Int_Tables_number 1
loop_
_symmetry_equiv_pos_as_xyz
'x,y,z'
loop_
_atom_site_label
_atom_site_type_symbol
_atom_site_fract_x
_atom_site_fract_y
_atom_site_fract_z
_atom_site_occupancy
Li1 Li 0.000 0.000 0.000 1
Li2 Li 0.500 0.500 0.500 1
Mn1 Mn 0.000 0.000 0.500 1
Mn2 Mn 0.500 0.500 0.000 1
Pt1 Pt 0.000 0.500 0.250 1
Pt2 Pt 0.000 0.500 0.750 1
Pt3 Pt 0.500 0.000 0.250 1
Pt4 Pt 0.500 0.000 0.750 1

Most stable to least stable, the ends of the list are run P and run Q.